A plane-wave DFT calculation with PBE with a Hubbard U was carried out for a relaxed structure of LiNi2P4H3O14.

a = 11.0400 Å, b = 12.8868 Å, c = 8.9736 Å
α = 90.00°, β = 123.29°, γ = 90.00°
With the nearest neighbours (Å) after each atom.
Space group Cc (No. 9)
Symmetry-distinct sites (fractional):
Li 0.0000 0.1418 0.0000 x4  4 O 1.96-2.04
Ni 0.0063 0.0934 0.5094 x4  6 O 2.05-2.15
Ni 0.2552 0.2508 0.7603 x4  6 O 2.06-2.15
P 0.0761 0.2863 0.3298 x4  4 O 1.52-1.59
P 0.2295 0.0437 0.9444 x4  4 O 1.52-1.60
P 0.2817 0.4578 0.5725 x4  4 O 1.52-1.61
P 0.4348 0.2152 0.1908 x4  4 O 1.53-1.61
H 0.1628 0.3919 0.9568 x4  1 O 1.03
H 0.2353 0.2480 0.2514 x4  1 O 1.07
H 0.3448 0.1068 0.5532 x4  1 O 1.01
O 0.0964 0.3117 0.7985 x4  1 P 1.53, 1 H 1.58
O 0.1025 0.0278 0.9636 x4  1 P 1.52
O 0.1217 0.2169 0.4905 x4  1 P 1.53
O 0.1238 0.2396 0.2081 x4  1 H 1.07
O 0.1637 0.3925 0.3992 x4  2 P 1.59-1.61
O 0.1890 0.1045 0.7767 x4  1 P 1.53
O 0.2008 0.4417 0.0632 x4  1 H 1.03
O 0.3061 0.0584 0.4473 x4  1 H 1.01
O 0.3211 0.3968 0.7394 x4  1 P 1.53
O 0.3503 0.1064 0.1158 x4  2 P 1.60-1.61
O 0.3836 0.2602 0.3046 x4  1 H 1.44, 1 P 1.53
O 0.3931 0.2827 0.0274 x4  1 P 1.54
O 0.4087 0.4730 0.5537 x4  1 P 1.52
O 0.4153 0.1899 0.7183 x4  1 P 1.52, 1 H 1.64

Summary:
volume: 1067.2 Å³ per cell
total magnetic moment: 15.7 μB per cell
ρ: 2.96 g/cm3
electronic total energy: -6.3735 eV per atom